No. 1
Here is a crystal of BeCrNi2 relaxed with PBEsol from Alexandria. Energies are from SCAN.

abc: 2.4056 3.9481 4.2095
angles: 90.00 90.15 90.00
Closest atoms and distances in Å follow each position.
Fractional coordinates of all 4 atoms:
Cr 0.3722 0.5000 0.8005  8 Ni 2.37-2.47, 2 Cr 2.41, 2 Be 2.51
Ni 0.8747 0.5000 0.3133  4 Be 2.36-2.37, 4 Cr 2.37-2.47, 4 Ni 2.41-2.48
Be 0.3786 0.0000 0.4313  8 Ni 2.34-2.52, 2 Be 2.41, 2 Cr 2.51
Ni 0.8746 0.0000 0.9548  4 Be 2.34-2.52, 4 Cr 2.40, 4 Ni 2.41-2.48

Summary:
DFT formation energy	-0.06	eV per atom
SG	Pm
uncorrected energy	-55.317	eV per cell

No. 2
Here is a crystal of Mn2BP relaxed with PBEsol from Alexandria. Energies are from SCAN.

abc: 3.7145 3.7145 3.7145
angles: 60.00 60.00 60.00
Closest atoms and distances in Å follow each position.
Fractional coordinates of all 4 atoms:
Mn 0.7500 0.7500 0.7500  4 P 2.27, 4 B 2.27
P 0.5000 0.5000 0.5000  8 Mn 2.27
B 0.0000 0.0000 0.0000  8 Mn 2.27
Mn 0.2500 0.2500 0.2500  4 B 2.27, 4 P 2.27

Summary:
DFT formation energy	-0.01	eV per atom
SG	Fm-3m
uncorrected energy	-54.391	eV per cell

No. 3
Here is a crystal of CaP2AuS relaxed with PBEsol from Alexandria. Energies are from SCAN.

abc: 4.7191 4.7191 5.0506
angles: 90.00 90.00 90.00
Closest atoms and distances in Å follow each position.
Fractional coordinates of all 5 atoms:
P 0.5000 0.0000 0.0000  2 Au 2.36
S 0.0000 0.0000 0.5000  2 Au 2.53
Ca 0.5000 0.5000 0.5000  4 S 3.34, 8 P 3.46
P 0.0000 0.5000 0.0000  2 Au 2.36
Au 0.0000 0.0000 0.0000  4 P 2.36, 2 S 2.53

Summary:
raw formation energy	113	meV per atom
SG	P4/mmm
uncorrected energy	-108.680	eV per cell

Look up the uncorrected energy of the second one.
-54.391 eV per cell

Among the records above, which one has the highest uncorrected energy?
Mn2BP

Copy entry 1 word for word.
Here is a crystal of BeCrNi2 relaxed with PBEsol from Alexandria. Energies are from SCAN.

abc: 2.4056 3.9481 4.2095
angles: 90.00 90.15 90.00
Closest atoms and distances in Å follow each position.
Fractional coordinates of all 4 atoms:
Cr 0.3722 0.5000 0.8005  8 Ni 2.37-2.47, 2 Cr 2.41, 2 Be 2.51
Ni 0.8747 0.5000 0.3133  4 Be 2.36-2.37, 4 Cr 2.37-2.47, 4 Ni 2.41-2.48
Be 0.3786 0.0000 0.4313  8 Ni 2.34-2.52, 2 Be 2.41, 2 Cr 2.51
Ni 0.8746 0.0000 0.9548  4 Be 2.34-2.52, 4 Cr 2.40, 4 Ni 2.41-2.48

Summary:
DFT formation energy	-0.06	eV per atom
SG	Pm
uncorrected energy	-55.317	eV per cell

Among the records above, which one has the highest uncorrected energy?
Mn2BP